one) # PBE-GGA TiGaTc, optimized geometry
# Magnetic moment in μB/f.u.: 0.00
data_TiGaTc
_cell_length_a 8.209
_cell_length_b 4.276
_cell_length_c 5.285
_cell_angle_alpha 90.00
_cell_angle_beta 102.21
_cell_angle_gamma 90.00
_space_group_name_H-M_alt 'C 1 m 1'
_space_group_IT_number 8
loop_
_space_group_symop_operation_xyz
'x,y,z'
'x,-y,z'
'x+1/2,y+1/2,z'
'x+1/2,-y+1/2,z'
loop_
_atom_site_label
_atom_site_type_symbol
_atom_site_fract_x
_atom_site_fract_y
_atom_site_fract_z
Ti1 Ti 0.000 0.000 0.000
Ti2 Ti 0.210 0.500 0.356
Ga1 Ga 0.040 0.000 0.505
Ga2 Ga 0.335 0.000 0.725
Tc1 Tc 0.162 0.500 0.858
Tc2 Tc 0.374 0.000 0.224

two) # PBE-GGA TiGaTc, optimized geometry
# Magnetic moment in μB/f.u.: 0.00
data_TiGaTc
_cell_length_a 8.781
_cell_length_b 4.504
_cell_length_c 5.401
_cell_angle_alpha 90.00
_cell_angle_beta 121.84
_cell_angle_gamma 90.00
_space_group_name_H-M_alt 'C 1 m 1'
_space_group_IT_number 8
loop_
_space_group_symop_operation_xyz
'x,y,z'
'x,-y,z'
'x+1/2,y+1/2,z'
'x+1/2,-y+1/2,z'
loop_
_atom_site_label
_atom_site_type_symbol
_atom_site_fract_x
_atom_site_fract_y
_atom_site_fract_z
Ti1 Ti 0.000 0.000 0.000
Ti2 Ti 0.159 0.500 0.484
Ga1 Ga 0.315 0.000 0.967
Ga2 Ga 0.480 0.500 0.484
Tc1 Tc 0.147 0.500 0.985
Tc2 Tc 0.318 0.000 0.474

Tell me which of them is the least stable. Sure, it is one).

one) # PBE-GGA TiGa2Tc, optimized geometry
# Magnetic moment in μB/f.u.: 0.00
data_TiGa2Tc
_cell_length_a 3.292
_cell_length_b 3.292
_cell_length_c 5.575
_cell_angle_alpha 90.00
_cell_angle_beta 90.00
_cell_angle_gamma 90.00
_space_group_name_H-M_alt 'P 4/m m m'
_space_group_IT_number 123
_space_group_name_Hall '-P 4 2'
loop_
_atom_site_label
_atom_site_type_symbol
_atom_site_fract_x
_atom_site_fract_y
_atom_site_fract_z
Ti1 Ti 0.000 0.000 0.000
Ga1 Ga 0.500 0.500 0.262
Tc1 Tc 0.000 0.000 0.500

two) # PBE-GGA TiGa2Tc, optimized geometry
# Magnetic moment in μB/f.u.: 0.00
data_TiGa2Tc
_cell_length_a 4.634
_cell_length_b 5.551
_cell_length_c 4.692
_cell_angle_alpha 90.00
_cell_angle_beta 96.64
_cell_angle_gamma 90.00
_space_group_name_H-M_alt 'P 1 21/m 1'
_space_group_IT_number 11
loop_
_space_group_symop_operation_xyz
'x,y,z'
'-x,-y,-z'
'-x,y+1/2,-z'
'x,-y+1/2,z'
loop_
_atom_site_label
_atom_site_type_symbol
_atom_site_fract_x
_atom_site_fract_y
_atom_site_fract_z
Ti1 Ti 0.209 0.250 0.315
Ga1 Ga 0.286 0.501 0.801
Tc1 Tc 0.210 0.750 0.301

three) # PBE-GGA TiGa2Tc, optimized geometry
# Magnetic moment in μB/f.u.: 0.00
data_TiGa2Tc
_cell_length_a 3.825
_cell_length_b 3.825
_cell_length_c 4.098
_cell_angle_alpha 90.00
_cell_angle_beta 90.00
_cell_angle_gamma 90.00
_space_group_name_H-M_alt 'P 4/m m m'
_space_group_IT_number 123
_space_group_name_Hall '-P 4 2'
loop_
_atom_site_label
_atom_site_type_symbol
_atom_site_fract_x
_atom_site_fract_y
_atom_site_fract_z
Ti1 Ti 0.000 0.000 0.000
Ga1 Ga 0.000 0.500 0.500
Tc1 Tc 0.500 0.500 0.000

Tell me which of them is the least stable. Sure, it is one).

one) # PBE-GGA TiGa2Tc, optimized geometry
# Magnetic moment in μB/f.u.: 0.89
data_TiGa2Tc
_cell_length_a 6.995
_cell_length_b 6.995
_cell_length_c 5.373
_cell_angle_alpha 90.00
_cell_angle_beta 90.00
_cell_angle_gamma 90.00
_space_group_name_H-M_alt 'I -4 2 d'
_space_group_IT_number 122
_space_group_name_Hall 'I -4 2bw'
loop_
_atom_site_label
_atom_site_type_symbol
_atom_site_fract_x
_atom_site_fract_y
_atom_site_fract_z
Ti1 Ti 0.000 0.000 0.000
Ga1 Ga 0.241 0.250 0.625
Tc1 Tc 0.000 0.000 0.500

two) # PBE-GGA TiGa2Tc, optimized geometry
# Magnetic moment in μB/f.u.: 0.00
data_TiGa2Tc
_cell_length_a 2.8881
_cell_length_b 2.8881
_cell_length_c 8.6508
_cell_angle_alpha 90.00
_cell_angle_beta 90.00
_cell_angle_gamma 120.00
_space_group_name_H-M_alt 'P -3 m 1'
_space_group_IT_number 164
_space_group_name_Hall '-P 3 2"'
loop_
_atom_site_label
_atom_site_type_symbol
_atom_site_fract_x
_atom_site_fract_y
_atom_site_fract_z
Ti1 Ti 0.0000 0.0000 0.0000
Ga1 Ga 0.3333 0.6667 0.7398
Tc1 Tc 0.0000 0.0000 0.5000

Tell me which of them is the least stable. Sure, it is one).

one) # PBE-GGA Ti3Ga4Tc, optimized geometry
# Magnetic moment in μB/f.u.: 0.00
data_Ti3Ga4Tc
_cell_length_a 9.010
_cell_length_b 5.365
_cell_length_c 5.182
_cell_angle_alpha 90.00
_cell_angle_beta 90.00
_cell_angle_gamma 90.00
_space_group_name_H-M_alt 'P m n 21'
_space_group_IT_number 31
loop_
_space_group_symop_operation_xyz
'x,y,z'
'-x+1/2,-y,z+1/2'
'-x,y,z'
'x+1/2,-y,z+1/2'
loop_
_atom_site_label
_atom_site_type_symbol
_atom_site_fract_x
_atom_site_fract_y
_atom_site_fract_z
Ti1 Ti 0.000 0.104 0.000
Ti2 Ti 0.236 0.633 0.730
Ga1 Ga 0.000 0.337 0.505
Ga2 Ga 0.000 0.599 0.045
Ga3 Ga 0.243 0.871 0.227
Tc1 Tc 0.000 0.834 0.550

two) # PBE-GGA Ti3Ga4Tc, optimized geometry
# Magnetic moment in μB/f.u.: 0.00
data_Ti3Ga4Tc
_cell_length_a 14.629
_cell_length_b 4.036
_cell_length_c 4.450
_cell_angle_alpha 90.00
_cell_angle_beta 102.67
_cell_angle_gamma 90.00
_space_group_name_H-M_alt 'C 1 2/m 1'
_space_group_IT_number 12
loop_
_space_group_symop_operation_xyz
'x,y,z'
'-x,-y,-z'
'-x,y,-z'
'x,-y,z'
'x+1/2,y+1/2,z'
'-x+1/2,-y+1/2,-z'
'-x+1/2,y+1/2,-z'
'x+1/2,-y+1/2,z'
loop_
_atom_site_label
_atom_site_type_symbol
_atom_site_fract_x
_atom_site_fract_y
_atom_site_fract_z
Ti1 Ti 0.000 0.000 0.000
Ti2 Ti 0.123 0.000 0.590
Ga1 Ga 0.116 0.500 0.088
Ga2 Ga 0.239 0.000 0.204
Tc1 Tc 0.000 0.500 0.500

Tell me which of them is the least stable. Sure, it is two).

one) # PBE-GGA Ti3GaTc, optimized geometry
# Magnetic moment in μB/f.u.: 0.00
data_Ti3GaTc
_cell_length_a 4.597
_cell_length_b 4.597
_cell_length_c 4.597
_cell_angle_alpha 90.00
_cell_angle_beta 90.00
_cell_angle_gamma 90.00
_space_group_name_H-M_alt 'P m -3 m'
_space_group_IT_number 221
_space_group_name_Hall '-P 4 2 3'
loop_
_atom_site_label
_atom_site_type_symbol
_atom_site_fract_x
_atom_site_fract_y
_atom_site_fract_z
Ti1 Ti 0.000 0.000 0.500
Ga1 Ga 0.000 0.000 0.000
Tc1 Tc 0.500 0.500 0.500

two) # PBE-GGA Ti3GaTc, optimized geometry
# Magnetic moment in μB/f.u.: 1.56
data_Ti3GaTc
_cell_length_a 4.694
_cell_length_b 4.694
_cell_length_c 4.694
_cell_angle_alpha 90.00
_cell_angle_beta 90.00
_cell_angle_gamma 90.00
_space_group_name_H-M_alt 'P m -3 m'
_space_group_IT_number 221
_space_group_name_Hall '-P 4 2 3'
loop_
_atom_site_label
_atom_site_type_symbol
_atom_site_fract_x
_atom_site_fract_y
_atom_site_fract_z
Ti1 Ti 0.000 0.000 0.500
Ga1 Ga 0.500 0.500 0.500
Tc1 Tc 0.000 0.000 0.000

three) # PBE-GGA Ti3GaTc, optimized geometry
# Magnetic moment in μB/f.u.: 0.00
data_Ti3GaTc
_cell_length_a 4.381
_cell_length_b 16.292
_cell_length_c 4.402
_cell_angle_alpha 90.00
_cell_angle_beta 90.00
_cell_angle_gamma 90.00
_space_group_name_H-M_alt 'C m c m'
_space_group_IT_number 63
_space_group_name_Hall '-C 2c 2'
loop_
_atom_site_label
_atom_site_type_symbol
_atom_site_fract_x
_atom_site_fract_y
_atom_site_fract_z
Ti1 Ti 0.000 0.053 0.250
Ti2 Ti 0.000 0.250 0.250
Ti3 Ti 0.000 0.446 0.250
Ga1 Ga 0.000 0.347 0.750
Tc1 Tc 0.000 0.155 0.750

Tell me which of them is the least stable. Sure, it is one).

one) # PBE-GGA Ti2TlGaTc, optimized geometry
# Magnetic moment in μB/f.u.: 0.00
data_Ti2TlGaTc
_cell_length_a 4.983
_cell_length_b 4.983
_cell_length_c 4.982
_cell_angle_alpha 90.00
_cell_angle_beta 90.00
_cell_angle_gamma 90.00
_space_group_name_H-M_alt 'P 4/m m m'
_space_group_IT_number 123
_space_group_name_Hall '-P 4 2'
loop_
_atom_site_label
_atom_site_type_symbol
_atom_site_fract_x
_atom_site_fract_y
_atom_site_fract_z
Ti1 Ti 0.000 0.500 0.000
Tl1 Tl 0.000 0.000 0.000
Ga1 Ga 0.500 0.500 0.500
Tc1 Tc 0.000 0.000 0.500

two) # PBE-GGA Ti2TlGaTc, optimized geometry
# Magnetic moment in μB/f.u.: 0.00
data_Ti2TlGaTc
_cell_length_a 4.691
_cell_length_b 4.691
_cell_length_c 5.316
_cell_angle_alpha 90.00
_cell_angle_beta 90.00
_cell_angle_gamma 90.00
_space_group_name_H-M_alt 'P 4/m m m'
_space_group_IT_number 123
_space_group_name_Hall '-P 4 2'
loop_
_atom_site_label
_atom_site_type_symbol
_atom_site_fract_x
_atom_site_fract_y
_atom_site_fract_z
Ti1 Ti 0.000 0.500 0.000
Tl1 Tl 0.000 0.000 0.500
Ga1 Ga 0.500 0.500 0.500
Tc1 Tc 0.000 0.000 0.000

Tell me which of them is the least stable. Sure, it is one).

one) # PBE-GGA Tl2GaTc, optimized geometry
# Magnetic moment in μB/f.u.: 0.00
data_Tl2GaTc
_cell_length_a 10.505
_cell_length_b 10.505
_cell_length_c 4.863
_cell_angle_alpha 90.00
_cell_angle_beta 90.00
_cell_angle_gamma 90.00
_space_group_name_H-M_alt 'I -4 2 d'
_space_group_IT_number 122
_space_group_name_Hall 'I -4 2bw'
loop_
_atom_site_label
_atom_site_type_symbol
_atom_site_fract_x
_atom_site_fract_y
_atom_site_fract_z
Tl1 Tl 0.001 0.250 0.125
Ga1 Ga 0.000 0.000 0.500
Tc1 Tc 0.000 0.000 0.000

two) # PBE-GGA Tl2GaTc, optimized geometry
# Magnetic moment in μB/f.u.: 1.44
data_Tl2GaTc
_cell_length_a 7.020
_cell_length_b 7.020
_cell_length_c 7.020
_cell_angle_alpha 90.00
_cell_angle_beta 90.00
_cell_angle_gamma 90.00
_space_group_name_H-M_alt 'F m -3 m'
_space_group_IT_number 225
_space_group_name_Hall '-F 4 2 3'
loop_
_atom_site_label
_atom_site_type_symbol
_atom_site_fract_x
_atom_site_fract_y
_atom_site_fract_z
Tl1 Tl 0.250 0.250 0.250
Ga1 Ga 0.000 0.000 0.000
Tc1 Tc 0.000 0.000 0.500

Tell me which of them is the least stable. Sure, it is two).

one) # PBE-GGA TlGa2Tc, optimized geometry
# Magnetic moment in μB/f.u.: 1.49
data_TlGa2Tc
_cell_length_a 4.176
_cell_length_b 4.176
_cell_length_c 18.458
_cell_angle_alpha 90.00
_cell_angle_beta 90.00
_cell_angle_gamma 90.00
_space_group_name_H-M_alt 'I -4 2 d'
_space_group_IT_number 122
_space_group_name_Hall 'I -4 2bw'
loop_
_atom_site_label
_atom_site_type_symbol
_atom_site_fract_x
_atom_site_fract_y
_atom_site_fract_z
Tl1 Tl 0.000 0.000 0.000
Ga1 Ga 0.182 0.250 0.625
Tc1 Tc 0.000 0.000 0.500

two) # PBE-GGA TlGa2Tc, optimized geometry
# Magnetic moment in μB/f.u.: 1.27
data_TlGa2Tc
_cell_length_a 6.668
_cell_length_b 6.668
_cell_length_c 6.668
_cell_angle_alpha 90.00
_cell_angle_beta 90.00
_cell_angle_gamma 90.00
_space_group_name_H-M_alt 'F m -3 m'
_space_group_IT_number 225
_space_group_name_Hall '-F 4 2 3'
loop_
_atom_site_label
_atom_site_type_symbol
_atom_site_fract_x
_atom_site_fract_y
_atom_site_fract_z
Tl1 Tl 0.000 0.000 0.000
Ga1 Ga 0.250 0.250 0.250
Tc1 Tc 0.000 0.000 0.500

Tell me which of them is the least stable. Sure, it is two).

one) # PBE-GGA Tm8Ga2Tc, optimized geometry
# Magnetic moment in μB/f.u.: 0.00
data_Tm8Ga2Tc
_cell_length_a 17.235
_cell_length_b 5.086
_cell_length_c 6.813
_cell_angle_alpha 90.00
_cell_angle_beta 110.98
_cell_angle_gamma 90.00
_space_group_name_H-M_alt 'C 1 2/m 1'
_space_group_IT_number 12
loop_
_space_group_symop_operation_xyz
'x,y,z'
'-x,-y,-z'
'-x,y,-z'
'x,-y,z'
'x+1/2,y+1/2,z'
'-x+1/2,-y+1/2,-z'
'-x+1/2,y+1/2,-z'
'x+1/2,-y+1/2,z'
loop_
_atom_site_label
_atom_site_type_symbol
_atom_site_fract_x
_atom_site_fract_y
_atom_site_fract_z
Tm1 Tm 0.020 0.000 0.288
Tm2 Tm 0.092 0.500 0.934
Tm3 Tm 0.158 0.500 0.455
Tm4 Tm 0.197 0.000 0.794
Ga1 Ga 0.179 0.000 0.198
Tc1 Tc 0.000 0.500 0.500

two) # PBE-GGA Tm8Ga2Tc, optimized geometry
# Magnetic moment in μB/f.u.: 0.00
data_Tm8Ga2Tc
_cell_length_a 4.845
_cell_length_b 8.174
_cell_length_c 13.967
_cell_angle_alpha 90.00
_cell_angle_beta 90.00
_cell_angle_gamma 90.00
_space_group_name_H-M_alt 'I m m m'
_space_group_IT_number 71
_space_group_name_Hall '-I 2 2'
loop_
_atom_site_label
_atom_site_type_symbol
_atom_site_fract_x
_atom_site_fract_y
_atom_site_fract_z
Tm1 Tm 0.000 0.000 0.126
Tm2 Tm 0.000 0.227 0.345
Tm3 Tm 0.000 0.319 0.000
Ga1 Ga 0.000 0.500 0.192
Tc1 Tc 0.000 0.500 0.500

Tell me which of them is the least stable. Sure, it is two).

one) # PBE-GGA TmGa4Tc, optimized geometry
# Magnetic moment in μB/f.u.: 0.00
data_TmGa4Tc
_cell_length_a 4.733
_cell_length_b 5.831
_cell_length_c 7.538
_cell_angle_alpha 90.00
_cell_angle_beta 90.00
_cell_angle_gamma 90.00
_space_group_name_H-M_alt 'I m m m'
_space_group_IT_number 71
_space_group_name_Hall '-I 2 2'
loop_
_atom_site_label
_atom_site_type_symbol
_atom_site_fract_x
_atom_site_fract_y
_atom_site_fract_z
Tm1 Tm 0.000 0.000 0.000
Ga1 Ga 0.000 0.229 0.335
Tc1 Tc 0.000 0.500 0.000

two) # PBE-GGA TmGa4Tc, optimized geometry
# Magnetic moment in μB/f.u.: 1.15
data_TmGa4Tc
_cell_length_a 7.414
_cell_length_b 7.414
_cell_length_c 7.414
_cell_angle_alpha 90.00
_cell_angle_beta 90.00
_cell_angle_gamma 90.00
_space_group_name_H-M_alt 'F -4 3 m'
_space_group_IT_number 216
_space_group_name_Hall 'F -4 2 3'
loop_
_atom_site_label
_atom_site_type_symbol
_atom_site_fract_x
_atom_site_fract_y
_atom_site_fract_z
Tm1 Tm 0.000 0.000 0.000
Ga1 Ga 0.125 0.125 0.375
Tc1 Tc 0.250 0.250 0.750

Tell me which of them is the least stable. Sure, it is two).

one) # PBE-GGA UGaTc, optimized geometry
# Magnetic moment in μB/f.u.: 0.00
data_UGaTc
_cell_length_a 4.706
_cell_length_b 5.183
_cell_length_c 5.240
_cell_angle_alpha 111.22
_cell_angle_beta 98.01
_cell_angle_gamma 109.88
_space_group_name_H-M_alt 'P -1'
_space_group_IT_number 2
loop_
_space_group_symop_operation_xyz
'x,y,z'
'-x,-y,-z'
loop_
_atom_site_label
_atom_site_type_symbol
_atom_site_fract_x
_atom_site_fract_y
_atom_site_fract_z
U1 U 0.155 0.362 0.055
Ga1 Ga 0.430 0.921 0.708
Tc1 Tc 0.189 0.314 0.553

two) # PBE-GGA UGaTc, optimized geometry
# Magnetic moment in μB/f.u.: 1.27
data_UGaTc
_cell_length_a 3.145
_cell_length_b 3.145
_cell_length_c 11.012
_cell_angle_alpha 90.00
_cell_angle_beta 90.00
_cell_angle_gamma 90.00
_space_group_name_H-M_alt 'I 4 m m'
_space_group_IT_number 107
_space_group_name_Hall 'I 4 -2'
loop_
_atom_site_label
_atom_site_type_symbol
_atom_site_fract_x
_atom_site_fract_y
_atom_site_fract_z
U1 U 0.000 0.000 0.000
Ga1 Ga 0.000 0.000 0.708
Tc1 Tc 0.000 0.000 0.342

three) # PBE-GGA UGaTc, optimized geometry
# Magnetic moment in μB/f.u.: 0.00
data_UGaTc
_cell_length_a 4.439
_cell_length_b 8.245
_cell_length_c 5.871
_cell_angle_alpha 90.00
_cell_angle_beta 90.00
_cell_angle_gamma 90.00
_space_group_name_H-M_alt 'C m c m'
_space_group_IT_number 63
_space_group_name_Hall '-C 2c 2'
loop_
_atom_site_label
_atom_site_type_symbol
_atom_site_fract_x
_atom_site_fract_y
_atom_site_fract_z
U1 U 0.000 0.000 0.000
Ga1 Ga 0.000 0.314 0.250
Tc1 Tc 0.000 0.374 0.750

four) # PBE-GGA UGaTc, optimized geometry
# Magnetic moment in μB/f.u.: 0.51
data_UGaTc
_cell_length_a 3.9276
_cell_length_b 3.9276
_cell_length_c 4.4363
_cell_angle_alpha 90.00
_cell_angle_beta 90.00
_cell_angle_gamma 120.00
_space_group_name_H-M_alt 'P 3 m 1'
_space_group_IT_number 156
loop_
_space_group_symop_operation_xyz
'x,y,z'
'-y,x-y,z'
'-x+y,-x,z'
'-y,-x,z'
'-x+y,y,z'
'x,x-y,z'
loop_
_atom_site_label
_atom_site_type_symbol
_atom_site_fract_x
_atom_site_fract_y
_atom_site_fract_z
U1 U 0.0000 0.0000 0.0000
Ga1 Ga 0.3333 0.6667 0.5646
Tc1 Tc 0.6667 0.3333 0.2934

Tell me which of them is the least stable. Sure, it is four).